PBE-GGA Ce4PuO5, relaxed; VASP energy = -9.089 eV/atom; energy relative to the elements, uncorrected = -270.4 kJ/mol of atoms
1.0
-1.8221 4.1148 -2.1190
-5.7478 -0.5309 -1.9266
-2.7310 3.8002 3.8898
Ce Pu O
4 1 5
direct
0.4008 0.3996 0.8009 Ce
0.8004 0.8009 0.6004 Ce
0.2017 0.1991 0.3996 Ce
0.6013 0.6004 0.1991 Ce
0.0010 0.0000 0.0000 Pu
0.9014 0.3983 0.8009 O
0.2997 0.8009 0.6017 O
0.7023 0.1991 0.3983 O
0.1007 0.6017 0.1991 O
0.5010 0.0000 0.0000 O

PBE-GGA Ac4Se5I, relaxed; VASP energy = -5.257 eV/atom; energy relative to the elements, uncorrected = -165.6 kJ/mol of atoms
1.0
7.5653 0.0000 0.0000
0.0000 9.7566 0.0000
0.0000 0.0000 10.7696
Ac Se I
8 10 2
direct
0.9866 0.0000 0.7225 Ac
0.5075 0.7257 0.0000 Ac
0.5075 0.2743 0.0000 Ac
0.9866 0.0000 0.2775 Ac
0.0134 0.5000 0.2225 Ac
0.4925 0.7743 0.5000 Ac
0.4925 0.2257 0.5000 Ac
0.0134 0.5000 0.7775 Ac
0.2516 0.7624 0.7879 Se
0.2516 0.2376 0.7879 Se
0.7775 0.5000 0.0000 Se
0.2516 0.7624 0.2121 Se
0.2516 0.2376 0.2121 Se
0.7484 0.7376 0.2879 Se
0.7484 0.2624 0.2879 Se
0.2225 0.0000 0.5000 Se
0.7484 0.2624 0.7121 Se
0.7484 0.7376 0.7121 Se
0.7806 0.0000 0.0000 I
0.2194 0.5000 0.5000 I

PBE-GGA CoReSe2, relaxed; VASP energy = -5.786 eV/atom; offset from the most stable computed form = 931.2 meV/atom; energy relative to the elements, uncorrected = 81.5 kJ/mol of atoms
1.0
-0.5686 -2.8183 0.8466
0.0068 -1.5660 -5.2089
3.9183 -0.7236 0.2226
Co Re Se
1 1 2
direct
0.5000 0.0000 0.5000 Co
0.0000 0.5000 0.5000 Re
0.0000 0.0000 0.0000 Se
0.5000 0.5000 0.0000 Se

PBE-GGA RbBi2W, relaxed; VASP energy = -4.463 eV/atom; offset from the most stable computed form = 290.0 meV/atom
1.0
2.1458 2.0260 4.4783
-3.0272 0.6131 4.3846
0.7851 -3.1573 4.2637
Rb Bi W
1 2 1
direct
0.0000 0.0000 0.0000 Rb
0.2500 0.2500 0.2500 Bi
0.7500 0.7500 0.7500 Bi
0.5000 0.5000 0.5000 W